# 1
A plane-wave DFT calculation with meta-GGA SCAN was carried out for a crystal of CsAu3Br relaxed with PBEsol. Values from VASP.

Cell and atoms, written as Quantum ESPRESSO input:
```
&SYSTEM
  ibrav = 0, nat = 5, ntyp = 3
/
ATOMIC_SPECIES
Cs 132.91 Cs.upf
Au 196.97 Au.upf
Br 79.90 Br.upf
CELL_PARAMETERS angstrom
5.654 0.000 0.000
0.000 5.654 0.000
0.000 0.000 5.654
ATOMIC_POSITIONS crystal
Cs 0.000 0.000 0.000
Au 0.000 0.500 0.000
Au 0.000 0.000 0.500
Au 0.500 0.000 0.000
Br 0.500 0.500 0.500
```

Results
**Space group**: Pm-3m
**DOS(E_F)**: 0.854 states/eV/atom
**Volume**: 180.8 Å³/cell
**ΔE_f (raw)**: 1.327 eV per atom

***

# 2
A plane-wave DFT calculation with meta-GGA SCAN was carried out for a crystal of CsAuBr2 relaxed with PBEsol. Values from VASP.

Cell and atoms, written as Quantum ESPRESSO input:
```
&SYSTEM
  ibrav = 0, nat = 4, ntyp = 3
/
ATOMIC_SPECIES
Cs 132.91 Cs.upf
Au 196.97 Au.upf
Br 79.90 Br.upf
CELL_PARAMETERS angstrom
5.929 0.000 0.000
2.964 5.134 0.000
2.964 1.711 7.062
ATOMIC_POSITIONS crystal
Cs 0.500 0.500 0.500
Au 0.000 0.000 0.000
Br 0.888 0.888 0.337
Br 0.112 0.112 0.663
```

Results
**Space group**: R-3m
**DOS(E_F)**: 0.000 states/eV/atom
**Volume**: 215.0 Å³/cell
**ΔE_f (raw)**: -1.012 eV per atom

***

# 3
A plane-wave DFT calculation with meta-GGA SCAN was carried out for a crystal of CsAuBr3 relaxed with PBEsol. Values from VASP.

Cell and atoms, written as Quantum ESPRESSO input:
```
&SYSTEM
  ibrav = 0, nat = 5, ntyp = 3
/
ATOMIC_SPECIES
Cs 132.91 Cs.upf
Au 196.97 Au.upf
Br 79.90 Br.upf
CELL_PARAMETERS angstrom
-3.861 2.231 2.929
-2.269 -4.784 0.654
2.900 -0.772 4.411
ATOMIC_POSITIONS crystal
Cs 0.500 0.500 0.500
Au 0.000 0.000 0.000
Br 0.000 0.500 0.000
Br 0.000 0.000 0.500
Br 0.500 0.000 0.000
```

Results
**Space group**: Pm-3m
**DOS(E_F)**: 0.224 states/eV/atom
**Volume**: 151.9 Å³/cell
**ΔE_f (raw)**: -0.948 eV per atom